1.
First-principles (GGA-PBE) data for a relaxed ZrRuW2 crystal, as listed in Alexandria via LeMat-Bulk.

a = 7.4884 Å, b = 7.4884 Å, c = 5.2756 Å
α = 90.00°, β = 90.00°, γ = 90.00°
Fractional positions:
1 Zr 0.0000 0.0000 0.0000
2 Zr 0.0000 0.5000 0.2500
3 Zr 0.5000 0.0000 0.7500
4 Zr 0.5000 0.5000 0.5000
5 Ru 0.0000 0.0000 0.5000
6 Ru 0.0000 0.5000 0.7500
7 Ru 0.5000 0.0000 0.2500
8 Ru 0.5000 0.5000 0.0000
9 W 0.2147 0.7500 0.6250
10 W 0.2500 0.2147 0.3750
11 W 0.2500 0.2853 0.8750
12 W 0.2853 0.7500 0.1250
13 W 0.7147 0.2500 0.1250
14 W 0.7500 0.7147 0.8750
15 W 0.7500 0.7853 0.3750
16 W 0.7853 0.2500 0.6250

Results
The polymorph energy (0 for the lowest one) comes out at 700 meV per atom. The value obtained for the density of states at the Fermi level is 19.0 states/eV per cell. The symmetry is No. 122. As for the formation energy from the elements: 14.21 kcal/mol of atoms.


2.
First-principles (GGA-PBE) data for a relaxed ZrRuW2 crystal, as listed in Alexandria via LeMat-Bulk.

a = 3.2219 Å, b = 4.4735 Å, c = 9.3657 Å
α = 90.00°, β = 90.00°, γ = 90.00°
Fractional positions:
1 Zr 0.0000 0.0000 0.0000
2 Zr 0.5000 0.5000 0.5000
3 Ru 0.0000 0.0000 0.5000
4 Ru 0.5000 0.5000 0.0000
5 W 0.0000 0.5000 0.2466
6 W 0.0000 0.5000 0.7534
7 W 0.5000 0.0000 0.2534
8 W 0.5000 0.0000 0.7466

Results
The polymorph energy (0 for the lowest one) comes out at 59 meV per atom. The value obtained for the density of states at the Fermi level is 6.0 states/eV per cell. The symmetry is No. 71. As for the formation energy from the elements: -0.57 kcal/mol of atoms.


3.
First-principles (GGA-PBE) data for a relaxed Zr2RuW crystal, as listed in Alexandria via LeMat-Bulk.

a = 5.8552 Å, b = 8.9369 Å, c = 2.9842 Å
α = 90.00°, β = 112.01°, γ = 90.00°
Fractional positions:
1 Zr 0.2500 0.2500 0.0000
2 Zr 0.2500 0.7500 0.0000
3 Zr 0.7500 0.2500 0.0000
4 Zr 0.7500 0.7500 0.0000
5 Ru 0.0000 0.0000 0.5000
6 Ru 0.5000 0.5000 0.5000
7 W 0.0000 0.5000 0.5000
8 W 0.5000 0.0000 0.5000

Results
The value obtained for the density of states at the Fermi level is 6.7 states/eV per cell. The symmetry is No. 12. As for the formation energy from the elements: -0.07 kcal/mol of atoms.


4.
First-principles (GGA-PBE) data for a relaxed ZrRuW crystal, as listed in Alexandria via LeMat-Bulk.

a = 4.5271 Å, b = 4.5271 Å, c = 2.8822 Å
α = 90.00°, β = 90.00°, γ = 120.00°
Fractional positions:
1 Zr 0.0000 0.0000 0.0000
2 Ru 0.6667 0.3333 0.3469
3 W 0.3333 0.6667 0.6376

Results
The polymorph energy (0 for the lowest one) comes out at 269 meV per atom. The value obtained for the density of states at the Fermi level is 2.3 states/eV per cell. The symmetry is No. 156. As for the formation energy from the elements: 1.48 kcal/mol of atoms.


5.
First-principles (GGA-PBE) data for a relaxed ZrRu4W crystal, as listed in Alexandria via LeMat-Bulk.

a = 5.1279 Å, b = 5.1279 Å, c = 5.1279 Å
α = 60.00°, β = 60.00°, γ = 60.00°
Fractional positions:
1 Zr 0.0000 0.0000 0.0000
2 Ru 0.1246 0.6251 0.6251
3 Ru 0.6251 0.1246 0.6251
4 Ru 0.6251 0.6251 0.1246
5 Ru 0.6251 0.6251 0.6251
6 W 0.2500 0.2500 0.2500

Results
The value obtained for the density of states at the Fermi level is 8.0 states/eV per cell. The symmetry is No. 216. As for the formation energy from the elements: 1.07 kcal/mol of atoms.


6.
First-principles (GGA-PBE) data for a relaxed Zr2RuW crystal, as listed in Alexandria via LeMat-Bulk.

a = 3.2725 Å, b = 4.5103 Å, c = 4.8928 Å
α = 90.00°, β = 90.00°, γ = 90.00°
Fractional positions:
1 Zr 0.0000 0.0000 0.0000
2 Zr 0.5000 0.0000 0.5000
3 Ru 0.0000 0.5000 0.5000
4 W 0.5000 0.5000 0.0000

Results
The value obtained for the density of states at the Fermi level is 4.4 states/eV per cell. The symmetry is No. 47. As for the formation energy from the elements: -0.09 kcal/mol of atoms.


7.
First-principles (GGA-PBE) data for a relaxed Zr2RuW crystal, as listed in Alexandria via LeMat-Bulk.

a = 3.4718 Å, b = 4.8236 Å, c = 8.7295 Å
α = 90.00°, β = 90.00°, γ = 90.00°
Fractional positions:
1 Zr 0.0000 0.0000 0.2374
2 Zr 0.0000 0.0000 0.7626
3 Zr 0.5000 0.5000 0.2374
4 Zr 0.5000 0.5000 0.7626
5 Ru 0.0000 0.5000 0.0000
6 Ru 0.5000 0.0000 0.0000
7 W 0.0000 0.5000 0.5000
8 W 0.5000 0.0000 0.5000

Results
The value obtained for the density of states at the Fermi level is 8.7 states/eV per cell. The symmetry is No. 65. As for the formation energy from the elements: -0.24 kcal/mol of atoms.


8.
First-principles (GGA-PBE) data for a relaxed ZrRuW2 crystal, as listed in Alexandria via LeMat-Bulk.

a = 5.4342 Å, b = 9.1938 Å, c = 2.8489 Å
α = 90.00°, β = 109.70°, γ = 90.00°
Fractional positions:
1 Zr 0.0000 0.0000 0.0000
2 Zr 0.5000 0.5000 0.0000
3 Ru 0.0000 0.5000 0.0000
4 Ru 0.5000 0.0000 0.0000
5 W 0.2500 0.2500 0.5000
6 W 0.2500 0.7500 0.5000
7 W 0.7500 0.2500 0.5000
8 W 0.7500 0.7500 0.5000

Results
The polymorph energy (0 for the lowest one) comes out at 132 meV per atom. The value obtained for the density of states at the Fermi level is 5.5 states/eV per cell. The symmetry is No. 12. As for the formation energy from the elements: 1.13 kcal/mol of atoms.


9.
First-principles (GGA-PBE) data for a relaxed ZrRuW2 crystal, as listed in Alexandria via LeMat-Bulk.

a = 2.8506 Å, b = 2.8506 Å, c = 8.4054 Å
α = 90.00°, β = 90.00°, γ = 90.00°
Fractional positions:
1 Zr 0.0000 0.0000 0.0000
2 Ru 0.0000 0.0000 0.5000
3 W 0.5000 0.5000 0.2815
4 W 0.5000 0.5000 0.7185

Results
The polymorph energy (0 for the lowest one) comes out at 252 meV per atom. The value obtained for the density of states at the Fermi level is 3.2 states/eV per cell. The symmetry is No. 123. As for the formation energy from the elements: 3.89 kcal/mol of atoms.


10.
First-principles (GGA-PBE) data for a relaxed ZrRuW crystal, as listed in Alexandria via LeMat-Bulk.

a = 3.1486 Å, b = 14.7051 Å, c = 4.5085 Å
α = 90.00°, β = 90.00°, γ = 90.00°
Fractional positions:
1 Zr 0.0000 0.0801 0.2500
2 Zr 0.0000 0.9199 0.7500
3 Zr 0.5000 0.4199 0.7500
4 Zr 0.5000 0.5801 0.2500
5 Ru 0.0000 0.3986 0.2500
6 Ru 0.0000 0.6014 0.7500
7 Ru 0.5000 0.1014 0.7500
8 Ru 0.5000 0.8986 0.2500
9 W 0.0000 0.2469 0.7500
10 W 0.0000 0.7531 0.2500
11 W 0.5000 0.2531 0.2500
12 W 0.5000 0.7469 0.7500

Results
The polymorph energy (0 for the lowest one) comes out at 0 meV per atom. The value obtained for the density of states at the Fermi level is 10.7 states/eV per cell. The symmetry is No. 63. As for the formation energy from the elements: -4.73 kcal/mol of atoms.


11.
First-principles (GGA-PBE) data for a relaxed Zr2RuW crystal, as listed in Alexandria via LeMat-Bulk.

a = 2.9827 Å, b = 4.4810 Å, c = 5.4927 Å
α = 90.00°, β = 99.16°, γ = 90.00°
Fractional positions:
1 Zr 0.2451 0.0000 0.2538
2 Zr 0.7549 0.0000 0.7462
3 Ru 0.0000 0.5000 0.5000
4 W 0.5000 0.5000 0.0000

Results
The value obtained for the density of states at the Fermi level is 4.6 states/eV per cell. The symmetry is No. 10. As for the formation energy from the elements: 0.25 kcal/mol of atoms.


12.
First-principles (GGA-PBE) data for a relaxed ZrRuW2 crystal, as listed in Alexandria via LeMat-Bulk.

a = 5.2754 Å, b = 9.2050 Å, c = 2.8123 Å
α = 90.00°, β = 90.00°, γ = 90.00°
Fractional positions:
1 Zr 0.0000 0.0000 0.0000
2 Zr 0.5000 0.5000 0.0000
3 Ru 0.0000 0.5000 0.0000
4 Ru 0.5000 0.0000 0.0000
5 W 0.2500 0.2500 0.5000
6 W 0.2500 0.7500 0.5000
7 W 0.7500 0.2500 0.5000
8 W 0.7500 0.7500 0.5000

Results
The polymorph energy (0 for the lowest one) comes out at 367 meV per atom. The value obtained for the density of states at the Fermi level is 7.1 states/eV per cell. The symmetry is No. 65. As for the formation energy from the elements: 6.55 kcal/mol of atoms.


13.
First-principles (GGA-PBE) data for a relaxed ZrRuW2 crystal, as listed in Alexandria via LeMat-Bulk.

a = 6.4281 Å, b = 6.4281 Å, c = 6.4281 Å
α = 90.00°, β = 90.00°, γ = 90.00°
Fractional positions:
1 Zr 0.0000 0.0000 0.0000
2 Zr 0.0000 0.5000 0.5000
3 Zr 0.5000 0.0000 0.5000
4 Zr 0.5000 0.5000 0.0000
5 Ru 0.0000 0.0000 0.5000
6 Ru 0.0000 0.5000 0.0000
7 Ru 0.5000 0.0000 0.0000
8 Ru 0.5000 0.5000 0.5000
9 W 0.2500 0.2500 0.2500
10 W 0.2500 0.2500 0.7500
11 W 0.2500 0.7500 0.2500
12 W 0.2500 0.7500 0.7500
13 W 0.7500 0.2500 0.2500
14 W 0.7500 0.2500 0.7500
15 W 0.7500 0.7500 0.2500
16 W 0.7500 0.7500 0.7500

Results
The polymorph energy (0 for the lowest one) comes out at 275 meV per atom. The value obtained for the density of states at the Fermi level is 13.0 states/eV per cell. The symmetry is No. 225. As for the formation energy from the elements: 4.41 kcal/mol of atoms.


14.
First-principles (GGA-PBE) data for a relaxed Zr2RuW crystal, as listed in Alexandria via LeMat-Bulk.

a = 3.0843 Å, b = 3.0843 Å, c = 7.9801 Å
α = 90.00°, β = 90.00°, γ = 90.00°
Fractional positions:
1 Zr 0.0000 0.0000 0.0000
2 Zr 0.5000 0.5000 0.3110
3 Ru 0.0000 0.0000 0.5593
4 W 0.5000 0.5000 0.7436

Results
The value obtained for the density of states at the Fermi level is 3.7 states/eV per cell. The symmetry is No. 99. As for the formation energy from the elements: -1.08 kcal/mol of atoms.


15.
First-principles (GGA-PBE) data for a relaxed YRu2 crystal, as listed in Alexandria via LeMat-Bulk.

a = 5.6522 Å, b = 4.4171 Å, c = 8.7257 Å
α = 90.00°, β = 90.00°, γ = 90.00°
Fractional positions:
1 Y 0.0808 0.2500 0.1173
2 Y 0.4192 0.7500 0.6173
3 Y 0.5808 0.2500 0.3827
4 Y 0.9192 0.7500 0.8827
5 Ru 0.0649 0.2500 0.4455
6 Ru 0.1663 0.2500 0.7341
7 Ru 0.3337 0.7500 0.2341
8 Ru 0.4350 0.7500 0.9455
9 Ru 0.5649 0.2500 0.0545
10 Ru 0.6663 0.2500 0.7659
11 Ru 0.8337 0.7500 0.2659
12 Ru 0.9350 0.7500 0.5545

Results
The value obtained for the density of states at the Fermi level is 14.0 states/eV per cell. The symmetry is No. 62. As for the formation energy from the elements: 1.07 kcal/mol of atoms.